Density functional theory data (meta-GGA SCAN) for a crystal of Mg3Se4 relaxed with PBEsol.

a = 5.3573 Å, b = 5.3573 Å, c = 5.3573 Å
α = 90.00°, β = 90.00°, γ = 90.00°
Fractional coordinates of all 7 atoms:
Mg: 0.0000 0.5000 0.0000
Mg: 0.0000 0.0000 0.5000
Mg: 0.5000 0.0000 0.0000
Se: 0.0000 0.0000 0.0000
Se: 0.0000 0.5000 0.5000
Se: 0.5000 0.0000 0.5000
Se: 0.5000 0.5000 0.0000

## Properties
SG ... No. 221
Energy relative to the elements, uncorrected ... -0.96 eV/atom



Density functional theory data (meta-GGA SCAN) for a crystal of LiTa2Ru relaxed with PBEsol.

a = 3.7388 Å, b = 3.7388 Å, c = 5.0851 Å
α = 111.57°, β = 111.57°, γ = 90.00°
Fractional coordinates of all 4 atoms:
Li: 0.5000 0.5000 0.0000
Ru: 0.2500 0.7500 0.5000
Ta: 0.0000 0.0000 0.0000
Ta: 0.7500 0.2500 0.5000

## Properties
SG ... No. 119
Calculated formation energy ... 0.1278 eV per atom



| no. | DOS at the Fermi energy (states/eV/cell) |
| --- | --- |
| 1 | 4.24 |
| 2 | 2.54 |